# 1
Crystalline ZnFeRh4 at its relaxed geometry. Source: Alexandria, functional PBE.

For the formation energy, the calculation gives -0.09 eV per atom. The calculation puts the distance to the lowest polymorph of the same formula at 0.000 eV/atom. As for the size of the total moment: 2.2 Bohr magnetons per cell. The uncorrected energy is -6.61 eV per atom.

a b c (Å): 2.734 2.734 11.062
angles (deg): 90.00 90.00 90.00
Fractional positions:
Zn: 0.000 0.000 0.000
Fe: 0.500 0.500 0.500
Rh: 0.000 0.000 0.340
Rh: 0.000 0.000 0.660
Rh: 0.500 0.500 0.168
Rh: 0.500 0.500 0.832

---

# 2
Crystalline ZnFeRh4 at its relaxed geometry. Source: Alexandria, functional PBE.

For the formation energy, the calculation gives 0.26 eV per atom. The calculation puts the distance to the lowest polymorph of the same formula at 0.347 eV/atom. As for the size of the total moment: 5.3 Bohr magnetons per cell. The uncorrected energy is -6.26 eV per atom.

a b c (Å): 5.081 5.081 5.081
angles (deg): 60.00 60.00 60.00
Fractional positions:
Zn: 0.000 0.000 0.000
Fe: 0.250 0.250 0.250
Rh: 0.125 0.625 0.625
Rh: 0.625 0.125 0.625
Rh: 0.625 0.625 0.125
Rh: 0.625 0.625 0.625